Record 1
Below is a relaxed structure of Ba2Tl3Br7, with properties calculated at the PBE level.

The space group is Cmc2_1 (No. 36) and the conventional cell measures 28.3920, 8.2050 and 8.8384 Å, with angles of 90.00, 90.00 and 90.00 degrees. Symmetry generates all atoms from Ba at (0.1043, 0.2493, 0.0000), Tl at (0.0000, 0.2684, 0.5657), Tl at (0.1958, 0.2486, 0.4135), Br at (0.0000, 0.0981, 0.9312), Br at (0.0748, 0.4221, 0.3190), Br at (0.1349, 0.0688, 0.6914) and Br at (0.2078, 0.3967, 0.0600).

Its total energy is -3.387 eV/atom. The formation energy from raw total energies comes out at -1.4995 eV/atom. Its density of states at the Fermi level is 0.0 states/eV/f.u. As for the crystal system: orthorhombic.


Record 2
Below is a relaxed structure of Te2RuCl, with properties calculated at the PBE level.

The space group is Immm (No. 71) and the conventional cell measures 3.2087, 4.8550 and 12.2194 Å, with angles of 90.00, 90.00 and 90.00 degrees. Symmetry generates all atoms from Te at (0.0000, 0.0000, 0.1772), Ru at (0.0000, 0.5000, 0.5000) and Cl at (0.0000, 0.5000, 0.0000).

Its total energy is -4.119 eV/atom. The formation energy from raw total energies comes out at 0.2324 eV/atom. Its density of states at the Fermi level is 4.0 states/eV/f.u. As for the crystal system: orthorhombic. Its energy above the most stable polymorph in this dataset is 437 meV/atom.


Record 3
Below is a relaxed structure of MnZnRh2, with properties calculated at the PBE level.

The space group is I-42d (No. 122) and the conventional cell measures 6.6986, 6.6986 and 5.4307 Å, with angles of 90.00, 90.00 and 90.00 degrees. Symmetry generates all atoms from Mn at (0.0000, 0.0000, 0.0000), Zn at (0.0000, 0.0000, 0.5000) and Rh at (0.2368, 0.2500, 0.1250).

The energy relative to the elements is 214 meV/atom. Its total energy is -6.073 eV/atom. Its density of states at the Fermi level is 3.3 states/eV/f.u. As for the crystal system: tetragonal.


Record 4
Below is a relaxed structure of CsTl2InHg, with properties calculated at the PBE level.

The space group is I-4m2 (No. 119) and the conventional cell measures 5.4366, 5.4366 and 12.5074 Å, with angles of 90.00, 90.00 and 90.00 degrees. Symmetry generates all atoms from Cs at (0.0000, 0.0000, 0.0000), Tl at (0.0000, 0.0000, 0.3722), In at (0.0000, 0.5000, 0.7500) and Hg at (0.0000, 0.5000, 0.2500).

The energy relative to the elements is -92 meV/atom. Its total energy is -1.817 eV/atom. Its density of states at the Fermi level is 3.1 states/eV/f.u. As for the crystal system: tetragonal. Its energy above the most stable polymorph in this dataset is 0 meV/atom.


Record 5
Below is a relaxed structure of Hf4NiAs2, with properties calculated at the PBE level.

The space group is C2/m (No. 12) and the conventional cell measures 12.7878, 3.6247 and 6.7495 Å, with angles of 90.00, 118.70 and 90.00 degrees. Symmetry generates all atoms from Hf at (0.1115, 0.0000, 0.3447), Hf at (0.1144, 0.5000, 0.7506), Ni at (0.0000, 0.5000, 0.0000) and As at (0.2217, 0.5000, 0.2088).

The energy relative to the elements is -564 meV/atom. Its total energy is -8.406 eV/atom. Its density of states at the Fermi level is 5.5 states/eV/f.u. As for the crystal system: monoclinic.


Record 6
Below is a relaxed structure of ZnHg6Pb12, with properties calculated at the PBE level.

The space group is R-3m (No. 166, hexagonal axes) and the conventional cell measures 10.5103, 10.5103 and 17.3715 Å, with angles of 90.00, 90.00 and 120.00 degrees. Symmetry generates all atoms from Zn at (0.0000, 0.0000, 0.0000), Hg at (0.0899, 0.5450, 0.7590), Pb at (0.1104, 0.5552, 0.0819) and Pb at (0.1111, 0.2222, 0.7509).

The energy relative to the elements is 37 meV/atom. Its total energy is -2.467 eV/atom. Its density of states at the Fermi level is 7.4 states/eV/f.u. As for the crystal system: trigonal.